No. 1
Material: RbDyHgF6
Method: DFT, PBE
State: optimized geometry

Output
The space-group type is P-31c. Its mass density is 4.950 g/cm³. The value obtained for the spin magnetization is 0.0 μB/cell.

```
RbDyHgF6
1.0
6.219 0.000 0.000
-3.109 5.386 0.000
0.000 0.000 11.270
Rb Dy Hg F
2 2 2 12
Direct
0.000 0.000 0.000
0.000 0.000 0.500
0.333 0.667 0.250
0.667 0.333 0.750
0.333 0.667 0.750
0.667 0.333 0.250
0.018 0.386 0.146
0.018 0.632 0.354
0.368 0.386 0.354
0.368 0.982 0.146
0.386 0.018 0.646
0.386 0.368 0.854
0.614 0.632 0.146
0.614 0.982 0.354
0.632 0.018 0.854
0.632 0.614 0.646
0.982 0.368 0.646
0.982 0.614 0.854
```

---

No. 2
Material: RbLa3Rh
Method: DFT, PBE
State: optimized geometry

Output
The space-group type is Pm-3m. For the formation enthalpy at 0 K, the calculation gives 1.3856 eV per atom. Its mass density is 5.962 g/cm³. The value obtained for the spin magnetization is 0.0 μB/cell.

```
RbLa3Rh
1.0
5.523 0.000 0.000
0.000 5.523 0.000
0.000 0.000 5.523
Rb La Rh
1 3 1
Direct
0.000 0.000 0.000
0.000 0.000 0.500
0.000 0.500 0.000
0.500 0.000 0.000
0.500 0.500 0.500
```

---

No. 3
Material: ZnSeBr2
Method: DFT, PBE
State: optimized geometry

Output
The space-group type is Immm. Its mass density is 3.737 g/cm³. The value obtained for the spin magnetization is 2.9 μB/cell.

```
ZnSeBr2
1.0
3.381 0.000 0.000
0.000 6.393 0.000
0.000 0.000 12.507
Zn Se Br
2 2 4
Direct
0.000 0.000 0.000
0.500 0.500 0.500
0.000 0.000 0.500
0.500 0.500 0.000
0.000 0.500 0.355
0.000 0.500 0.645
0.500 0.000 0.145
0.500 0.000 0.855
```

---

No. 4
Material: CsZrSi2C
Method: DFT, PBE
State: optimized geometry

Output
The space-group type is P4/mmm. Its mass density is 4.736 g/cm³. The value obtained for the spin magnetization is 0.0 μB/cell.

```
CsZrSi2C
1.0
4.699 0.000 0.000
0.000 4.699 0.000
0.000 0.000 4.643
Cs Zr Si C
1 1 2 1
Direct
0.000 0.000 0.000
0.500 0.500 0.000
0.000 0.500 0.500
0.500 0.000 0.500
0.500 0.500 0.500
```

---

Electronic total energy for the records above, in order: -4.819, -3.235, -2.047, -4.768 eV/atom